*P*
# Ca2Co2F

Ca2Co2F after structural relaxation (PBE with a Hubbard U, Alexandria).

Unit cell a=6.8197 b=6.8197 c=4.7580 alpha=90.00 beta=90.00 gamma=90.00
Atoms (fractional coordinates):
Ca: 0.1877 0.3123 0.0000
Ca: 0.3123 0.8123 0.0000
Ca: 0.6877 0.1877 0.0000
Ca: 0.8123 0.6877 0.0000
Co: 0.1123 0.6123 0.5000
Co: 0.3877 0.1123 0.5000
Co: 0.6123 0.8877 0.5000
Co: 0.8877 0.3877 0.5000
F: 0.0000 0.0000 0.0000
F: 0.5000 0.5000 0.0000

Properties
SG: No. 127
D(E_F) in states/eV per cell: 4.94
Magnetization in Bohr magnetons per cell: 8.0

*Q*
# Ca2Co2F

Ca2Co2F after structural relaxation (PBE with a Hubbard U, Alexandria).

Unit cell a=5.2052 b=5.2052 c=5.2052 alpha=113.18 beta=113.18 gamma=102.28
Atoms (fractional coordinates):
Ca: 0.2500 0.7500 0.5000
Ca: 0.7500 0.2500 0.5000
Co: 0.1797 0.1797 0.0000
Co: 0.8203 0.8203 0.0000
F: 0.5000 0.5000 0.0000

Properties
SG: No. 139
D(E_F) in states/eV per cell: 0.70
Magnetization in Bohr magnetons per cell: 3.0

*R*
# Ca2Co2F

Ca2Co2F after structural relaxation (PBE with a Hubbard U, Alexandria).

Unit cell a=7.7038 b=7.7038 c=3.8707 alpha=90.00 beta=90.00 gamma=90.00
Atoms (fractional coordinates):
Ca: 0.1828 0.3172 0.0000
Ca: 0.3172 0.8172 0.0000
Ca: 0.6828 0.1828 0.0000
Ca: 0.8172 0.6828 0.0000
Co: 0.1133 0.6133 0.5000
Co: 0.3867 0.1133 0.5000
Co: 0.6133 0.8867 0.5000
Co: 0.8867 0.3867 0.5000
F: 0.0000 0.0000 0.5000
F: 0.5000 0.5000 0.5000

Properties
SG: No. 127
D(E_F) in states/eV per cell: 5.69
Magnetization in Bohr magnetons per cell: 6.7

*S*
# Ca2Co2F

Ca2Co2F after structural relaxation (PBE with a Hubbard U, Alexandria).

Unit cell a=8.5530 b=8.5530 c=8.5530 alpha=157.26 beta=157.26 gamma=32.38
Atoms (fractional coordinates):
Ca: 0.1072 0.1072 0.0000
Ca: 0.8928 0.8928 0.0000
Co: 0.2500 0.7500 0.5000
Co: 0.7500 0.2500 0.5000
F: 0.5000 0.5000 0.0000

Properties
SG: No. 139
D(E_F) in states/eV per cell: 2.03
Magnetization in Bohr magnetons per cell: 3.5

*S* is the most stable structure; the next one sits 14.0 kJ/mol of atoms above it.

*P*
# CaCoF5

CaCoF5 after structural relaxation (PBE with a Hubbard U, Alexandria).

Unit cell a=5.5550 b=10.0905 c=7.6587 alpha=90.00 beta=109.95 gamma=90.00
Atoms (fractional coordinates):
Ca: 0.0312 0.0211 0.2573
Ca: 0.0312 0.4789 0.7573
Ca: 0.9688 0.5211 0.2427
Ca: 0.9688 0.9789 0.7427
Co: 0.3926 0.2474 0.5990
Co: 0.3926 0.2526 0.0990
Co: 0.6074 0.7474 0.9010
Co: 0.6074 0.7526 0.4010
F: 0.1087 0.1195 0.5571
F: 0.1087 0.3805 0.0571
F: 0.1418 0.1155 0.0028
F: 0.1418 0.3845 0.5028
F: 0.3304 0.6367 0.3617
F: 0.3304 0.8633 0.8617
F: 0.3476 0.1972 0.3375
F: 0.3476 0.3028 0.8375
F: 0.3804 0.6096 0.8079
F: 0.3804 0.8904 0.3079
F: 0.6196 0.1096 0.6921
F: 0.6196 0.3904 0.1921
F: 0.6524 0.6972 0.1625
F: 0.6524 0.8028 0.6625
F: 0.6696 0.1367 0.1383
F: 0.6696 0.3633 0.6383
F: 0.8582 0.6155 0.4972
F: 0.8582 0.8845 0.9972
F: 0.8913 0.6195 0.9429
F: 0.8913 0.8805 0.4429

Properties
SG: No. 14
D(E_F) in states/eV per cell: 0.00
Magnetization in Bohr magnetons per cell: 16.1

*Q*
# CaCoF5

CaCoF5 after structural relaxation (PBE with a Hubbard U, Alexandria).

Unit cell a=5.5856 b=5.5856 c=7.6686 alpha=110.13 beta=110.13 gamma=71.71
Atoms (fractional coordinates):
Ca: 0.0448 0.9552 0.7500
Ca: 0.9552 0.0448 0.2500
Co: 0.5000 0.5000 0.0000
Co: 0.5000 0.5000 0.5000
F: 0.1918 0.7878 0.0308
F: 0.2122 0.8082 0.4692
F: 0.2593 0.2931 0.3850
F: 0.2931 0.2593 0.8850
F: 0.4134 0.5866 0.7500
F: 0.5866 0.4134 0.2500
F: 0.7069 0.7407 0.1150
F: 0.7407 0.7069 0.6150
F: 0.7878 0.1918 0.5308
F: 0.8082 0.2122 0.9692

Properties
SG: No. 15
D(E_F) in states/eV per cell: 0.00
Magnetization in Bohr magnetons per cell: 8.0

*Q* is the most stable structure; the next one sits 1.7 kJ/mol of atoms above it.

*P*
# CaCoF

CaCoF after structural relaxation (PBE with a Hubbard U, Alexandria).

Unit cell a=3.6023 b=3.6023 c=8.0041 alpha=90.00 beta=90.00 gamma=90.00
Atoms (fractional coordinates):
Ca: 0.2500 0.2500 0.1778
Ca: 0.7500 0.7500 0.8222
Co: 0.2500 0.2500 0.5287
Co: 0.7500 0.7500 0.4713
F: 0.2500 0.7500 0.0000
F: 0.7500 0.2500 0.0000

Properties
SG: No. 129
D(E_F) in states/eV per cell: 1.12
Magnetization in Bohr magnetons per cell: 3.8

*Q*
# CaCoF

CaCoF after structural relaxation (PBE with a Hubbard U, Alexandria).

Unit cell a=3.8336 b=3.8336 c=9.1601 alpha=90.00 beta=90.00 gamma=120.00
Atoms (fractional coordinates):
Ca: 0.0000 0.0000 0.0000
Ca: 0.0000 0.0000 0.5000
Co: 0.3333 0.6667 0.2500
Co: 0.6667 0.3333 0.7500
F: 0.3333 0.6667 0.7500
F: 0.6667 0.3333 0.2500

Properties
SG: No. 194
D(E_F) in states/eV per cell: 5.25
Magnetization in Bohr magnetons per cell: 3.7

*R*
# CaCoF

CaCoF after structural relaxation (PBE with a Hubbard U, Alexandria).

Unit cell a=4.2509 b=7.2374 c=7.2374 alpha=29.58 beta=90.00 gamma=90.00
Atoms (fractional coordinates):
Ca: 0.0000 0.0000 0.0000
Ca: 0.5000 0.3123 0.3123
Co: 0.0000 0.6841 0.6841
Co: 0.5000 0.6211 0.6211
F: 0.0000 0.3959 0.3959
F: 0.5000 0.9134 0.9134

Properties
SG: No. 38
D(E_F) in states/eV per cell: 1.57
Magnetization in Bohr magnetons per cell: 3.8

*P* is the most stable structure; the next one sits 4.8 kJ/mol of atoms above it.

*P*
# Ca2CoF

Ca2CoF after structural relaxation (PBE with a Hubbard U, Alexandria).

Unit cell a=6.3415 b=6.3415 c=6.3415 alpha=114.22 beta=114.22 gamma=100.33
Atoms (fractional coordinates):
Ca: 0.0498 0.6250 0.9248
Ca: 0.3750 0.2998 0.4248
Ca: 0.7002 0.1250 0.0752
Ca: 0.8750 0.9502 0.5752
Co: 0.2500 0.7500 0.5000
Co: 0.5000 0.5000 0.0000
F: 0.0000 0.0000 0.0000
F: 0.7500 0.2500 0.5000

Properties
SG: No. 122
D(E_F) in states/eV per cell: 2.86
Magnetization in Bohr magnetons per cell: 3.8

*Q*
# Ca2CoF

Ca2CoF after structural relaxation (PBE with a Hubbard U, Alexandria).

Unit cell a=4.7123 b=4.7123 c=4.7123 alpha=60.00 beta=60.00 gamma=60.00
Atoms (fractional coordinates):
Ca: 0.2500 0.2500 0.2500
Ca: 0.7500 0.7500 0.7500
Co: 0.0000 0.0000 0.0000
F: 0.5000 0.5000 0.5000

Properties
SG: No. 225
D(E_F) in states/eV per cell: 8.19
Magnetization in Bohr magnetons per cell: 0.0

*P* is the most stable structure; the next one sits 64.1 kJ/mol of atoms above it.